Entry 1:
Material: Li2CoCl
Method: DFT, PBE
State: relaxed

The space group is P4mm (No. 99) and the conventional cell measures 3.245, 3.245 and 7.043 Å, with angles of 90.00, 90.00 and 90.00 degrees. The distinct sites, in fractional coordinates, are Li at (0.000, 0.000, 0.000), Li at (0.500, 0.500, 0.263), Co at (0.500, 0.500, 0.822) and Cl at (0.000, 0.000, 0.340).

The calculation puts the calculated volume at 18.5 Å³/atom. The calculation puts the density of states at the Fermi level at 3.90 states/eV per cell. The calculation puts the distance to the lowest polymorph of the same formula at 157.0 meV/atom. The value obtained for the energy is -3.39 eV per atom. For the raw formation energy, the calculation gives -0.1980 eV per atom.

Entry 2:
Material: La2Cd2Ag
Method: DFT, PBE
State: relaxed

The space group is P4/mbm (No. 127) and the conventional cell measures 7.971, 7.971 and 4.884 Å, with angles of 90.00, 90.00 and 90.00 degrees. The distinct sites, in fractional coordinates, are La at (0.137, 0.363, 0.000), Cd at (0.158, 0.658, 0.500) and Ag at (0.000, 0.000, 0.000).

The calculation puts the formation energy from the elements at 0.0 eV/f.u. The calculation puts the calculated volume at 31.0 Å³/atom. The calculation puts the density of states at the Fermi level at 11.61 states/eV per cell. The calculation puts the distance to the lowest polymorph of the same formula at 284.4 meV/atom. The value obtained for the energy is -2.91 eV per atom.

Entry 3:
Material: NaPm2PdO6
Method: DFT, PBE
State: relaxed

The space group is P2_1/c (No. 14) and the conventional cell measures 5.528, 5.985 and 9.581 Å, with angles of 90.00, 124.27 and 90.00 degrees. The distinct sites, in fractional coordinates, are Na at (0.000, 0.000, 0.000), Pm at (0.223, 0.079, 0.746), Pd at (0.500, 0.000, 0.500), O at (0.145, 0.174, 0.444), O at (0.266, 0.713, 0.429) and O at (0.394, 0.053, 0.266).

The calculation puts the calculated volume at 13.1 Å³/atom. The calculation puts the density of states at the Fermi level at 18.12 states/eV per cell. The value obtained for the energy is -6.62 eV per atom. For the raw formation energy, the calculation gives -2.0414 eV per atom.

Entry 4:
Material: TiCuNi
Method: DFT, PBE
State: relaxed

The space group is Pmm2 (No. 25) and the conventional cell measures 2.971, 3.007 and 8.830 Å, with angles of 90.00, 90.00 and 90.00 degrees. The distinct sites, in fractional coordinates, are Ti at (0.000, 0.000, 0.000), Ti at (0.000, 0.000, 0.350), Cu at (0.000, 0.000, 0.662), Cu at (0.500, 0.500, 0.810), Ni at (0.500, 0.500, 0.186) and Ni at (0.500, 0.500, 0.504).

The calculation puts the formation energy from the elements at -0.6 eV/f.u. The calculation puts the calculated volume at 13.1 Å³/atom. The calculation puts the density of states at the Fermi level at 4.77 states/eV per cell. The calculation puts the distance to the lowest polymorph of the same formula at 98.8 meV/atom. The value obtained for the energy is -6.14 eV per atom.

Entry 5:
Material: Tb2ErHg3
Method: DFT, PBE
State: relaxed

The space group is P4/mmm (No. 123) and the conventional cell measures 3.724, 3.724 and 11.163 Å, with angles of 90.00, 90.00 and 90.00 degrees. The distinct sites, in fractional coordinates, are Tb at (0.000, 0.000, 0.168), Er at (0.000, 0.000, 0.500), Hg at (0.500, 0.500, 0.000) and Hg at (0.500, 0.500, 0.338).

The calculation puts the formation energy from the elements at -2.9 eV/f.u. The calculation puts the calculated volume at 25.8 Å³/atom. The calculation puts the density of states at the Fermi level at 6.13 states/eV per cell. The value obtained for the energy is -2.93 eV per atom.

Entry 6:
Material: K2InOs
Method: DFT, PBE
State: relaxed

The space group is Pmmm (No. 47) and the conventional cell measures 3.614, 4.604 and 5.770 Å, with angles of 90.00, 90.00 and 90.00 degrees. The distinct sites, in fractional coordinates, are K at (0.000, 0.000, 0.000), K at (0.500, 0.500, 0.000), In at (0.000, 0.500, 0.500) and Os at (0.500, 0.000, 0.500).

The calculation puts the formation energy from the elements at 3.9 eV/f.u. The calculation puts the calculated volume at 24.0 Å³/atom. The calculation puts the density of states at the Fermi level at 2.17 states/eV per cell. The value obtained for the energy is -3.07 eV per atom.

no.,total moment (μB/cell)
1,1.83
2,0.00
3,1.39
4,0.65
5,0.35
6,0.00